YPd6Au12 | PBE | relaxed

a b c (Å): 7.254 7.254 7.254
angles (deg): 102.81 102.81 102.81
Sites, in units of the cell vectors:
Y: 0.000 0.000 0.000
Pd: 0.166 0.166 0.421
Pd: 0.166 0.421 0.166
Pd: 0.421 0.166 0.166
Pd: 0.579 0.834 0.834
Pd: 0.834 0.579 0.834
Pd: 0.834 0.834 0.579
Au: 0.000 0.263 0.737
Au: 0.000 0.737 0.263
Au: 0.192 0.583 0.583
Au: 0.263 0.000 0.737
Au: 0.263 0.737 0.000
Au: 0.417 0.417 0.808
Au: 0.417 0.808 0.417
Au: 0.583 0.192 0.583
Au: 0.583 0.583 0.192
Au: 0.737 0.000 0.263
Au: 0.737 0.263 0.000
Au: 0.808 0.417 0.417

***

Dy5Ir4Pt | PBE | relaxed

a b c (Å): 3.398 3.398 17.630
angles (deg): 90.00 90.00 90.00
Sites, in units of the cell vectors:
Dy: 0.000 0.000 0.000
Dy: 0.000 0.000 0.199
Dy: 0.000 0.000 0.397
Dy: 0.000 0.000 0.603
Dy: 0.000 0.000 0.801
Ir: 0.500 0.500 0.100
Ir: 0.500 0.500 0.299
Ir: 0.500 0.500 0.701
Ir: 0.500 0.500 0.900
Pt: 0.500 0.500 0.500

***

Hf2ScTlCr | PBE | relaxed

a b c (Å): 5.289 5.289 4.836
angles (deg): 90.00 90.00 90.00
Sites, in units of the cell vectors:
Hf: 0.000 0.500 0.000
Hf: 0.500 0.000 0.000
Sc: 0.000 0.000 0.500
Tl: 0.500 0.500 0.000
Cr: 0.500 0.500 0.500

***

ZrSi | PBE | relaxed

Output
The value obtained for the formation energy (no corrections) is -0.302 eV/atom.

a b c (Å): 4.207 4.917 7.160
angles (deg): 90.00 90.00 90.00
Sites, in units of the cell vectors:
Zr: 0.000 0.250 0.178
Zr: 0.000 0.750 0.822
Zr: 0.500 0.250 0.822
Zr: 0.500 0.750 0.178
Si: 0.000 0.250 0.586
Si: 0.000 0.750 0.414
Si: 0.500 0.250 0.414
Si: 0.500 0.750 0.586

***

Al2AsPbW | PBE | relaxed

a b c (Å): 5.025 5.025 4.814
angles (deg): 90.00 90.00 90.00
Sites, in units of the cell vectors:
Al: 0.000 0.500 0.000
Al: 0.500 0.000 0.000
As: 0.000 0.000 0.500
Pb: 0.500 0.500 0.500
W: 0.000 0.000 0.000

***

CsMnVS4 | PBE | relaxed

Output
The value obtained for the formation energy (no corrections) is -0.762 eV/atom.

a b c (Å): 6.012 6.723 8.528
angles (deg): 90.00 91.60 90.00
Sites, in units of the cell vectors:
Cs: 0.207 0.250 0.051
Cs: 0.793 0.750 0.949
Mn: 0.368 0.250 0.619
Mn: 0.632 0.750 0.381
V: 0.171 0.750 0.466
V: 0.829 0.250 0.534
S: 0.097 0.015 0.653
S: 0.097 0.485 0.653
S: 0.330 0.750 0.222
S: 0.490 0.750 0.614
S: 0.510 0.250 0.386
S: 0.670 0.250 0.778
S: 0.903 0.515 0.347
S: 0.903 0.985 0.347

***

Cu3NiSn | PBE | relaxed

Output
For the energy relative to the lowest polymorph listed for this composition, the calculation gives 0.0 kJ per mole of atoms.

a b c (Å): 4.432 4.432 4.432
angles (deg): 90.00 90.00 90.00
Sites, in units of the cell vectors:
Cu: 0.000 0.000 0.500
Cu: 0.000 0.500 0.000
Cu: 0.500 0.000 0.000
Ni: 0.000 0.000 0.000
Sn: 0.500 0.500 0.500

***

Hg4As2I3 | PBE | relaxed

Output
The value obtained for the formation energy (no corrections) is -0.158 eV/atom. For the energy relative to the lowest polymorph listed for this composition, the calculation gives 0.0 kJ per mole of atoms.

a b c (Å): 13.369 13.369 13.369
angles (deg): 90.00 90.00 90.00
Sites, in units of the cell vectors:
Hg: 0.012 0.238 0.540
Hg: 0.012 0.262 0.040
Hg: 0.040 0.012 0.262
Hg: 0.040 0.488 0.762
Hg: 0.226 0.226 0.226
Hg: 0.226 0.274 0.726
Hg: 0.238 0.540 0.012
Hg: 0.238 0.960 0.512
Hg: 0.262 0.040 0.012
Hg: 0.262 0.460 0.512
Hg: 0.274 0.726 0.226
Hg: 0.274 0.774 0.726
Hg: 0.460 0.512 0.262
Hg: 0.460 0.988 0.762
Hg: 0.488 0.738 0.540
Hg: 0.488 0.762 0.040
Hg: 0.512 0.238 0.960
Hg: 0.512 0.262 0.460
Hg: 0.540 0.012 0.238
Hg: 0.540 0.488 0.738
Hg: 0.726 0.226 0.274
Hg: 0.726 0.274 0.774
Hg: 0.738 0.540 0.488
Hg: 0.738 0.960 0.988
Hg: 0.762 0.040 0.488
Hg: 0.762 0.460 0.988
Hg: 0.774 0.726 0.274
Hg: 0.774 0.774 0.774
Hg: 0.960 0.512 0.238
Hg: 0.960 0.988 0.738
Hg: 0.988 0.738 0.960
Hg: 0.988 0.762 0.460
As: 0.053 0.553 0.947
As: 0.053 0.947 0.447
As: 0.114 0.114 0.114
As: 0.114 0.386 0.614
As: 0.386 0.614 0.114
As: 0.386 0.886 0.614
As: 0.447 0.053 0.947
As: 0.447 0.447 0.447
As: 0.553 0.553 0.553
As: 0.553 0.947 0.053
As: 0.614 0.114 0.386
As: 0.614 0.386 0.886
As: 0.886 0.614 0.386
As: 0.886 0.886 0.886
As: 0.947 0.053 0.553
As: 0.947 0.447 0.053
I: 0.058 0.739 0.686
I: 0.058 0.761 0.186
I: 0.186 0.058 0.761
I: 0.186 0.442 0.261
I: 0.239 0.686 0.442
I: 0.239 0.814 0.942
I: 0.261 0.186 0.442
I: 0.261 0.314 0.942
I: 0.314 0.558 0.761
I: 0.314 0.942 0.261
I: 0.442 0.239 0.686
I: 0.442 0.261 0.186
I: 0.558 0.739 0.814
I: 0.558 0.761 0.314
I: 0.686 0.058 0.739
I: 0.686 0.442 0.239
I: 0.739 0.686 0.058
I: 0.739 0.814 0.558
I: 0.761 0.186 0.058
I: 0.761 0.314 0.558
I: 0.814 0.558 0.739
I: 0.814 0.942 0.239
I: 0.942 0.239 0.814
I: 0.942 0.261 0.314

***

| no. | final energy (Ha/atom) | spin magnetization (μB per cell) |
| --- | --- | --- |
| 1 | -0.15288 | 0.0 |
| 2 | -0.26993 | 0.0 |
| 3 | -0.22425 | 0.5 |
| 4 | -0.26781 | 0.0 |
| 5 | -0.19504 | 0.0 |
| 6 | -0.21516 | 6.3 |
| 7 | -0.14014 | 0.0 |
| 8 | -0.06770 | 0.0 |